A geometry-optimized SmMoO5 structure. Source: Alexandria, functional PBE+U.

## Properties
**Energy relative to the lowest polymorph listed for this composition**: 204 meV per atom
**SG**: No. 129
**Energy**: -7.22 eV/atom

Cell lengths 7.598, 7.598, 4.619 Å; angles 90.00, 90.00, 90.00 degrees
Fractional coordinates of all 14 atoms:
Sm 0.250 0.250 0.227
Sm 0.750 0.750 0.773
Mo 0.250 0.750 0.500
Mo 0.750 0.250 0.500
O 0.056 0.750 0.722
O 0.250 0.250 0.730
O 0.250 0.556 0.278
O 0.250 0.944 0.278
O 0.444 0.750 0.722
O 0.556 0.250 0.278
O 0.750 0.056 0.722
O 0.750 0.444 0.722
O 0.750 0.750 0.270
O 0.944 0.250 0.278